(A)
Here is an optimized crystal structure of ZnCdTc2 from Alexandria via LeMat-Bulk. Energies are from GGA-PBEsol. Values from VASP.

D(E_F), states/eV per atom: 0.795
Magnetization, Bohr magnetons per cell: 0.00

```
&SYSTEM
  ibrav = 0, nat = 4, ntyp = 3
/
ATOMIC_SPECIES
Zn 65.41 Zn.upf
Cd 112.41 Cd.upf
Tc 98.00 Tc.upf
CELL_PARAMETERS angstrom
2.649 0.000 0.000
0.000 4.474 0.000
-1.184 0.000 5.087
ATOMIC_POSITIONS crystal
Zn 0.000 0.000 0.000
Cd 0.500 0.000 0.500
Tc 0.246 0.500 0.765
Tc 0.754 0.500 0.235
```

***

(B)
Here is an optimized crystal structure of ZnCdTc2 from Alexandria via LeMat-Bulk. Energies are from GGA-PBEsol. Values from VASP.

D(E_F), states/eV per atom: 0.931
Magnetization, Bohr magnetons per cell: 0.00

```
&SYSTEM
  ibrav = 0, nat = 4, ntyp = 3
/
ATOMIC_SPECIES
Zn 65.41 Zn.upf
Cd 112.41 Cd.upf
Tc 98.00 Tc.upf
CELL_PARAMETERS angstrom
0.000 3.098 3.098
3.098 0.000 3.098
3.098 3.098 0.000
ATOMIC_POSITIONS crystal
Zn 0.000 0.000 0.000
Cd 0.500 0.500 0.500
Tc 0.250 0.250 0.250
Tc 0.750 0.750 0.750
```

***

The structure with the least stability is (B).

***

(A)
Here is an optimized crystal structure of Cd2Te from Alexandria via LeMat-Bulk. Energies are from GGA-PBEsol. Values from VASP.

D(E_F), states/eV per atom: 0.321
Magnetization, Bohr magnetons per cell: 0.00

```
&SYSTEM
  ibrav = 0, nat = 3, ntyp = 2
/
ATOMIC_SPECIES
Cd 112.41 Cd.upf
Te 127.60 Te.upf
CELL_PARAMETERS angstrom
2.127 1.228 5.165
-2.127 1.228 5.165
0.000 -2.456 5.165
ATOMIC_POSITIONS crystal
Cd 0.000 0.000 0.000
Cd 0.225 0.225 0.225
Te 0.778 0.778 0.778
```

***

(B)
Here is an optimized crystal structure of Cd2Te from Alexandria via LeMat-Bulk. Energies are from GGA-PBEsol. Values from VASP.

D(E_F), states/eV per atom: 0.291
Magnetization, Bohr magnetons per cell: 0.00

```
&SYSTEM
  ibrav = 0, nat = 6, ntyp = 2
/
ATOMIC_SPECIES
Cd 112.41 Cd.upf
Te 127.60 Te.upf
CELL_PARAMETERS angstrom
4.189 0.000 0.000
-2.095 3.628 0.000
0.000 0.000 10.470
ATOMIC_POSITIONS crystal
Cd 0.333 0.667 0.083
Cd 0.333 0.667 0.417
Cd 0.667 0.333 0.583
Cd 0.667 0.333 0.917
Te 0.000 0.000 0.250
Te 0.000 0.000 0.750
```

***

The structure with the least stability is (A).

***

(A)
Here is an optimized crystal structure of Cd3Te from Alexandria via LeMat-Bulk. Energies are from GGA-PBEsol. Values from VASP.

D(E_F), states/eV per atom: 0.543
Magnetization, Bohr magnetons per cell: 0.00

```
&SYSTEM
  ibrav = 0, nat = 4, ntyp = 2
/
ATOMIC_SPECIES
Cd 112.41 Cd.upf
Te 127.60 Te.upf
CELL_PARAMETERS angstrom
5.469 3.158 0.965
-5.469 3.158 0.965
0.000 -6.315 0.965
ATOMIC_POSITIONS crystal
Cd 0.000 0.500 0.500
Cd 0.500 0.000 0.500
Cd 0.500 0.500 0.000
Te 0.000 0.000 0.000
```

***

(B)
Here is an optimized crystal structure of Cd3Te from Alexandria via LeMat-Bulk. Energies are from GGA-PBEsol. Values from VASP.

D(E_F), states/eV per atom: 0.392
Magnetization, Bohr magnetons per cell: 0.00

```
&SYSTEM
  ibrav = 0, nat = 4, ntyp = 2
/
ATOMIC_SPECIES
Cd 112.41 Cd.upf
Te 127.60 Te.upf
CELL_PARAMETERS angstrom
2.287 -2.290 0.000
2.287 2.290 0.000
0.000 0.000 8.999
ATOMIC_POSITIONS crystal
Cd 0.000 0.000 0.000
Cd 0.500 0.500 0.223
Cd 0.500 0.500 0.777
Te 0.000 0.000 0.500
```

***

The structure with the least stability is (A).

***

(A)
Here is an optimized crystal structure of TlCd4 from Alexandria via LeMat-Bulk. Energies are from GGA-PBEsol. Values from VASP.

D(E_F), states/eV per atom: 0.303
Magnetization, Bohr magnetons per cell: 0.00

```
&SYSTEM
  ibrav = 0, nat = 20, ntyp = 2
/
ATOMIC_SPECIES
Tl 204.38 Tl.upf
Cd 112.41 Cd.upf
CELL_PARAMETERS angstrom
-4.945 4.945 4.945
4.945 -4.945 4.945
4.945 4.945 -4.945
ATOMIC_POSITIONS crystal
Tl 0.000 0.000 0.423
Tl 0.000 0.423 0.000
Tl 0.423 0.000 0.000
Tl 0.577 0.577 0.577
Cd 0.000 0.000 0.777
Cd 0.000 0.350 0.350
Cd 0.000 0.650 0.650
Cd 0.000 0.777 0.000
Cd 0.223 0.223 0.223
Cd 0.250 0.500 0.750
Cd 0.250 0.750 0.500
Cd 0.350 0.000 0.350
Cd 0.350 0.350 0.000
Cd 0.500 0.250 0.750
Cd 0.500 0.750 0.250
Cd 0.650 0.000 0.650
Cd 0.650 0.650 0.000
Cd 0.750 0.250 0.500
Cd 0.750 0.500 0.250
Cd 0.777 0.000 0.000
```

***

(B)
Here is an optimized crystal structure of TlCd4 from Alexandria via LeMat-Bulk. Energies are from GGA-PBEsol. Values from VASP.

D(E_F), states/eV per atom: 0.498
Magnetization, Bohr magnetons per cell: 0.00

```
&SYSTEM
  ibrav = 0, nat = 5, ntyp = 2
/
ATOMIC_SPECIES
Tl 204.38 Tl.upf
Cd 112.41 Cd.upf
CELL_PARAMETERS angstrom
-2.085 2.085 6.928
2.085 -2.085 6.928
2.085 2.085 -6.928
ATOMIC_POSITIONS crystal
Tl 0.000 0.000 0.000
Cd 0.250 0.750 0.500
Cd 0.400 0.400 0.000
Cd 0.600 0.600 0.000
Cd 0.750 0.250 0.500
```

***

The structure with the least stability is (A).

***

(A)
Here is an optimized crystal structure of Tl4Cd from Alexandria via LeMat-Bulk. Energies are from GGA-PBEsol. Values from VASP.

D(E_F), states/eV per atom: 0.553
Magnetization, Bohr magnetons per cell: 0.00

```
&SYSTEM
  ibrav = 0, nat = 5, ntyp = 2
/
ATOMIC_SPECIES
Tl 204.38 Tl.upf
Cd 112.41 Cd.upf
CELL_PARAMETERS angstrom
-3.707 3.707 2.435
3.707 -3.707 2.435
3.707 3.707 -2.435
ATOMIC_POSITIONS crystal
Tl 0.108 0.701 0.808
Tl 0.299 0.108 0.407
Tl 0.701 0.892 0.593
Tl 0.892 0.299 0.192
Cd 0.500 0.500 0.000
```

***

(B)
Here is an optimized crystal structure of Tl4Cd from Alexandria via LeMat-Bulk. Energies are from GGA-PBEsol. Values from VASP.

D(E_F), states/eV per atom: 0.496
Magnetization, Bohr magnetons per cell: 0.00

```
&SYSTEM
  ibrav = 0, nat = 10, ntyp = 2
/
ATOMIC_SPECIES
Tl 204.38 Tl.upf
Cd 112.41 Cd.upf
CELL_PARAMETERS angstrom
6.444 0.000 0.000
0.000 6.444 0.000
0.000 0.000 6.664
ATOMIC_POSITIONS crystal
Tl 0.108 0.278 0.358
Tl 0.222 0.392 0.858
Tl 0.278 0.892 0.642
Tl 0.392 0.778 0.142
Tl 0.608 0.222 0.142
Tl 0.722 0.108 0.642
Tl 0.778 0.608 0.858
Tl 0.892 0.722 0.358
Cd 0.000 0.000 0.000
Cd 0.500 0.500 0.500
```

***

The structure with the least stability is (B).

***

(A)
Here is an optimized crystal structure of Tl4Cd5 from Alexandria via LeMat-Bulk. Energies are from GGA-PBEsol. Values from VASP.

D(E_F), states/eV per atom: 0.435
Magnetization, Bohr magnetons per cell: 0.00

```
&SYSTEM
  ibrav = 0, nat = 18, ntyp = 2
/
ATOMIC_SPECIES
Tl 204.38 Tl.upf
Cd 112.41 Cd.upf
CELL_PARAMETERS angstrom
9.110 0.000 0.000
-4.555 7.889 0.000
0.000 0.000 6.228
ATOMIC_POSITIONS crystal
Tl 0.000 0.000 0.000
Tl 0.000 0.000 0.500
Tl 0.000 0.349 0.250
Tl 0.000 0.651 0.750
Tl 0.349 0.000 0.250
Tl 0.349 0.349 0.750
Tl 0.651 0.000 0.750
Tl 0.651 0.651 0.250
Cd 0.000 0.324 0.750
Cd 0.000 0.676 0.250
Cd 0.324 0.000 0.750
Cd 0.324 0.324 0.250
Cd 0.333 0.667 0.000
Cd 0.333 0.667 0.500
Cd 0.667 0.333 0.000
Cd 0.667 0.333 0.500
Cd 0.676 0.000 0.250
Cd 0.676 0.676 0.750
```

***

(B)
Here is an optimized crystal structure of Tl4Cd5 from Alexandria via LeMat-Bulk. Energies are from GGA-PBEsol. Values from VASP.

D(E_F), states/eV per atom: 0.439
Magnetization, Bohr magnetons per cell: 0.00

```
&SYSTEM
  ibrav = 0, nat = 9, ntyp = 2
/
ATOMIC_SPECIES
Tl 204.38 Tl.upf
Cd 112.41 Cd.upf
CELL_PARAMETERS angstrom
-4.879 4.879 2.310
4.879 -4.879 2.310
4.879 4.879 -2.310
ATOMIC_POSITIONS crystal
Tl 0.000 0.322 0.322
Tl 0.000 0.678 0.678
Tl 0.322 0.000 0.322
Tl 0.678 0.000 0.678
Cd 0.000 0.000 0.000
Cd 0.339 0.339 0.677
Cd 0.339 0.661 0.000
Cd 0.661 0.339 0.000
Cd 0.661 0.661 0.323
```

***

The structure with the least stability is (A).

***

(A)
Here is an optimized crystal structure of Tl5Cd3 from Alexandria via LeMat-Bulk. Energies are from GGA-PBEsol. Values from VASP.

D(E_F), states/eV per atom: 0.442
Magnetization, Bohr magnetons per cell: 0.00

```
&SYSTEM
  ibrav = 0, nat = 8, ntyp = 2
/
ATOMIC_SPECIES
Tl 204.38 Tl.upf
Cd 112.41 Cd.upf
CELL_PARAMETERS angstrom
4.351 -4.930 0.000
4.351 4.930 0.000
0.000 0.000 4.792
ATOMIC_POSITIONS crystal
Tl 0.000 0.000 0.000
Tl 0.000 0.500 0.000
Tl 0.266 0.266 0.500
Tl 0.500 0.000 0.000
Tl 0.734 0.734 0.500
Cd 0.243 0.757 0.500
Cd 0.500 0.500 0.000
Cd 0.757 0.243 0.500
```

***

(B)
Here is an optimized crystal structure of Tl5Cd3 from Alexandria via LeMat-Bulk. Energies are from GGA-PBEsol. Values from VASP.

D(E_F), states/eV per atom: 0.406
Magnetization, Bohr magnetons per cell: 0.00

```
&SYSTEM
  ibrav = 0, nat = 16, ntyp = 2
/
ATOMIC_SPECIES
Tl 204.38 Tl.upf
Cd 112.41 Cd.upf
CELL_PARAMETERS angstrom
-5.871 5.871 3.021
5.871 -5.871 3.021
5.871 5.871 -3.021
ATOMIC_POSITIONS crystal
Tl 0.075 0.775 0.849
Tl 0.225 0.075 0.300
Tl 0.250 0.750 0.500
Tl 0.275 0.575 0.849
Tl 0.425 0.275 0.700
Tl 0.575 0.725 0.300
Tl 0.725 0.425 0.151
Tl 0.750 0.250 0.500
Tl 0.775 0.925 0.700
Tl 0.925 0.225 0.151
Cd 0.169 0.331 0.500
Cd 0.250 0.250 0.000
Cd 0.331 0.831 0.161
Cd 0.669 0.169 0.839
Cd 0.750 0.750 0.000
Cd 0.831 0.669 0.500
```

***

The structure with the least stability is (A).

***

(A)
Here is an optimized crystal structure of Tl2CdW from Alexandria via LeMat-Bulk. Energies are from GGA-PBEsol. Values from VASP.

D(E_F), states/eV per atom: 0.952
Magnetization, Bohr magnetons per cell: 1.56

```
&SYSTEM
  ibrav = 0, nat = 4, ntyp = 3
/
ATOMIC_SPECIES
Tl 204.38 Tl.upf
Cd 112.41 Cd.upf
W 183.84 W.upf
CELL_PARAMETERS angstrom
0.000 3.479 3.479
3.479 0.000 3.479
3.479 3.479 0.000
ATOMIC_POSITIONS crystal
Tl 0.250 0.250 0.250
Tl 0.750 0.750 0.750
Cd 0.000 0.000 0.000
W 0.500 0.500 0.500
```

***

(B)
Here is an optimized crystal structure of Tl2CdW from Alexandria via LeMat-Bulk. Energies are from GGA-PBEsol. Values from VASP.

D(E_F), states/eV per atom: 0.609
Magnetization, Bohr magnetons per cell: 0.00

```
&SYSTEM
  ibrav = 0, nat = 4, ntyp = 3
/
ATOMIC_SPECIES
Tl 204.38 Tl.upf
Cd 112.41 Cd.upf
W 183.84 W.upf
CELL_PARAMETERS angstrom
2.892 0.000 0.000
0.000 2.892 0.000
0.000 0.000 10.694
ATOMIC_POSITIONS crystal
Tl 0.000 0.000 0.000
Tl 0.500 0.500 0.313
Cd 0.500 0.500 0.738
W 0.000 0.000 0.539
```

***

The structure with the least stability is (A).